(1)
A geometry-optimized La4CdHg2Au structure. Source: Alexandria, functional PBE.

Cell lengths 9.486, 9.486, 9.486 Å; angles 33.68, 33.68, 33.68 degrees
Fractional coordinates of all 8 atoms:
La: 0.118 0.118 0.118
La: 0.369 0.369 0.369
La: 0.631 0.631 0.631
La: 0.882 0.882 0.882
Cd: 0.500 0.500 0.500
Hg: 0.242 0.242 0.242
Hg: 0.758 0.758 0.758
Au: 0.000 0.000 0.000

Results
* spin magnetization: 0.0 μB/f.u.
* raw total energy: -3.597 eV per atom

---

(2)
A geometry-optimized Li3Cd3Hg2Au structure. Source: Alexandria, functional PBE.

Cell lengths 8.115, 8.115, 3.181 Å; angles 90.00, 90.00, 120.00 degrees
Fractional coordinates of all 9 atoms:
Li: 0.000 0.363 0.000
Li: 0.363 0.000 0.000
Li: 0.637 0.637 0.000
Cd: 0.000 0.707 0.500
Cd: 0.293 0.293 0.500
Cd: 0.707 0.000 0.500
Hg: 0.333 0.667 0.500
Hg: 0.667 0.333 0.500
Au: 0.000 0.000 0.000

Results
* spin magnetization: 0.0 μB/f.u.
* raw total energy: -1.653 eV per atom

---

(3)
A geometry-optimized Li3Cd3HgAu2 structure. Source: Alexandria, functional PBE.

Cell lengths 8.072, 8.072, 2.976 Å; angles 90.00, 90.00, 120.00 degrees
Fractional coordinates of all 9 atoms:
Li: 0.000 0.691 0.000
Li: 0.309 0.309 0.000
Li: 0.691 0.000 0.000
Cd: 0.000 0.369 0.500
Cd: 0.369 0.000 0.500
Cd: 0.631 0.631 0.500
Hg: 0.000 0.000 0.500
Au: 0.333 0.667 0.000
Au: 0.667 0.333 0.000

Results
* spin magnetization: 0.0 μB/f.u.
* raw total energy: -2.033 eV per atom

---

(4)
A geometry-optimized Li5Cd2Hg2Au structure. Source: Alexandria, functional PBE.

Cell lengths 11.100, 11.100, 3.143 Å; angles 90.00, 90.00, 90.00 degrees
Fractional coordinates of all 20 atoms:
Li: 0.000 0.500 0.000
Li: 0.015 0.193 0.000
Li: 0.193 0.985 0.000
Li: 0.307 0.485 0.000
Li: 0.485 0.693 0.000
Li: 0.500 0.000 0.000
Li: 0.515 0.307 0.000
Li: 0.693 0.515 0.000
Li: 0.807 0.015 0.000
Li: 0.985 0.807 0.000
Cd: 0.166 0.666 0.500
Cd: 0.334 0.166 0.500
Cd: 0.666 0.834 0.500
Cd: 0.834 0.334 0.500
Hg: 0.147 0.353 0.500
Hg: 0.353 0.853 0.500
Hg: 0.647 0.147 0.500
Hg: 0.853 0.647 0.500
Au: 0.000 0.000 0.500
Au: 0.500 0.500 0.500

Results
* spin magnetization: 0.0 μB/f.u.
* raw total energy: -1.818 eV per atom

---

Question: raw total energy of number 2 (Li3Cd3Hg2Au)?
Answer: -1.653 eV per atom